VASP calculation (GGA-PBE) on a relaxed AcSm3Y2Se6 crystal.

## Properties
Mass density   7.04 g cm⁻³
Uncorrected formation energy   -1792 meV/atom
N(E_F)   11.736 states/eV/cell

Unit cell a=7.263 b=12.627 c=7.262 alpha=90.00 beta=109.68 gamma=90.00
Space group C2/m (No. 12)
Symmetry-distinct sites (fractional):
Ac1 0.000 0.000 0.000
Sm1 0.000 0.158 0.500
Sm2 0.000 0.500 0.500
Y1 0.000 0.333 0.000
Se1 0.231 0.500 0.245
Se2 0.241 0.325 0.746